(1)
VASP calculation (PBE-GGA) on ZnCo2Ru after structural relaxation.

Output
Calculated formation energy   0.131 eV/atom

```
8
Lattice="5.227 0.000 0.000 0.000 7.255 0.000 0.000 0.000 2.593" Properties=species:S:1:pos:R:3 pbc="T T T"
Zn 0.000 0.000 0.000
Zn 2.614 3.627 0.000
Co 1.307 1.814 1.296
Co 1.307 5.441 1.296
Co 3.920 1.814 1.296
Co 3.920 5.441 1.296
Ru 0.000 3.627 0.000
Ru 2.614 0.000 0.000
```



(2)
VASP calculation (PBE-GGA) on K4IrPb after structural relaxation.

Output
Calculated formation energy   0.845 eV/atom

```
6
Lattice="0.000 4.622 4.622 4.622 0.000 4.622 4.622 4.622 0.000" Properties=species:S:1:pos:R:3 pbc="T T T"
K 3.480 3.480 3.480
K 5.765 5.765 3.480
K 5.765 3.480 5.765
K 3.480 5.765 5.765
Ir 6.934 6.934 6.934
Pb 0.000 0.000 0.000
```



Number 1: E -6.059 eV/atom. Number 2: E -1.982 eV/atom.